Entry 1:
Entry from Alexandria: crystalline BaBeN2O at its relaxed geometry (PBE).

VASP energy   -16.97 eV/cell

Cell: 4.7221 4.7221 4.5557 Å, 90.00 90.00 90.00°
Element x y z (fractional)
1 Ba 0.0000 0.0000 0.0000
2 Be 0.5000 0.5000 0.5000
3 N 0.0000 0.5000 0.0000
4 N 0.5000 0.0000 0.0000
5 O 0.0000 0.0000 0.5000


Entry 2:
Entry from Alexandria: crystalline BeCuIr at its relaxed geometry (PBE).

VASP energy   -17.00 eV/cell
E above lowest polymorph   0.089 eV/atom

Cell: 3.8622 3.8622 2.7041 Å, 90.00 90.00 120.00°
Element x y z (fractional)
1 Be 0.0000 0.0000 0.0000
2 Cu 0.6667 0.3333 0.0021
3 Ir 0.3333 0.6667 0.5015